Record 1
# ZrNiBi, optimized geometry, DFT PBE
data_ZrNiBi
_symmetry_space_group_name_H-M 'P 1'
_symmetry_Int_Tables_number 1
_cell_length_a 4.6623
_cell_length_b 4.6623
_cell_length_c 4.6623
_cell_angle_alpha 60.00
_cell_angle_beta 60.00
_cell_angle_gamma 60.00
loop_
_symmetry_equiv_pos_as_xyz
'x,y,z'
loop_
_atom_site_label
_atom_site_type_symbol
_atom_site_fract_x
_atom_site_fract_y
_atom_site_fract_z
Bi1 Bi 0.2500 0.2500 0.2500
Ni1 Ni 0.7500 0.7500 0.7500
Zr1 Zr 0.0000 0.0000 0.0000
# Spin magnetization (μB/cell): 0.0
# DFT total energy (eV/atom): -5.849
# Calculated volume (Å³/f.u.): 71.7
# Space-group type: F-43m
# ρ (Mg/m³): 8.32

---

Record 2
# ZrNiBi, optimized geometry, DFT PBE
data_ZrNiBi
_symmetry_space_group_name_H-M 'P 1'
_symmetry_Int_Tables_number 1
_cell_length_a 7.1756
_cell_length_b 7.1756
_cell_length_c 3.9608
_cell_angle_alpha 90.00
_cell_angle_beta 90.00
_cell_angle_gamma 120.00
loop_
_symmetry_equiv_pos_as_xyz
'x,y,z'
loop_
_atom_site_label
_atom_site_type_symbol
_atom_site_fract_x
_atom_site_fract_y
_atom_site_fract_z
Bi1 Bi 0.2839 0.0000 0.0000
Bi2 Bi 0.0000 0.2839 0.0000
Bi3 Bi 0.7161 0.7161 0.0000
Ni1 Ni 0.6667 0.3333 0.0000
Ni2 Ni 0.3333 0.6667 0.0000
Ni3 Ni 0.0000 0.0000 0.5000
Zr1 Zr 0.6212 0.0000 0.5000
Zr2 Zr 0.3788 0.3788 0.5000
Zr3 Zr 0.0000 0.6212 0.5000
# Spin magnetization (μB/cell): 0.0
# DFT total energy (eV/atom): -6.301
# Calculated volume (Å³/f.u.): 58.9
# Space-group type: P-62m
# ρ (Mg/m³): 10.12

---

Record 3
# Zr2Ni2Bi, optimized geometry, DFT PBE
data_Zr2Ni2Bi
_symmetry_space_group_name_H-M 'P 1'
_symmetry_Int_Tables_number 1
_cell_length_a 3.5285
_cell_length_b 3.5285
_cell_length_c 8.0859
_cell_angle_alpha 102.60
_cell_angle_beta 102.60
_cell_angle_gamma 90.00
loop_
_symmetry_equiv_pos_as_xyz
'x,y,z'
loop_
_atom_site_label
_atom_site_type_symbol
_atom_site_fract_x
_atom_site_fract_y
_atom_site_fract_z
Bi1 Bi 0.0000 0.0000 0.0000
Ni1 Ni 0.7500 0.2500 0.5000
Ni2 Ni 0.2500 0.7500 0.5000
Zr1 Zr 0.6256 0.6256 0.2512
Zr2 Zr 0.3744 0.3744 0.7488
# Spin magnetization (μB/cell): 0.0
# DFT total energy (eV/atom): -6.634
# Calculated volume (Å³/f.u.): 95.8
# Space-group type: I4/mmm
# ρ (Mg/m³): 8.82

---

Record 4
# NpPaBi, optimized geometry, DFT PBE
data_NpPaBi
_symmetry_space_group_name_H-M 'P 1'
_symmetry_Int_Tables_number 1
_cell_length_a 5.0948
_cell_length_b 5.0948
_cell_length_c 5.0948
_cell_angle_alpha 60.00
_cell_angle_beta 60.00
_cell_angle_gamma 60.00
loop_
_symmetry_equiv_pos_as_xyz
'x,y,z'
loop_
_atom_site_label
_atom_site_type_symbol
_atom_site_fract_x
_atom_site_fract_y
_atom_site_fract_z
Bi1 Bi 0.5000 0.5000 0.5000
Np1 Np 0.2500 0.2500 0.2500
Pa1 Pa 0.0000 0.0000 0.0000
# Spin magnetization (μB/cell): 8.6
# DFT total energy (eV/atom): -8.150
# Energy above the most stable polymorph in this dataset (meV/atom): 0
# Calculated volume (Å³/f.u.): 93.5
# Space-group type: F-43m
# ρ (Mg/m³): 12.02

---

Record 5
# PuNpBi, optimized geometry, DFT PBE
data_PuNpBi
_symmetry_space_group_name_H-M 'P 1'
_symmetry_Int_Tables_number 1
_cell_length_a 4.7172
_cell_length_b 4.7172
_cell_length_c 4.7172
_cell_angle_alpha 60.00
_cell_angle_beta 60.00
_cell_angle_gamma 60.00
loop_
_symmetry_equiv_pos_as_xyz
'x,y,z'
loop_
_atom_site_label
_atom_site_type_symbol
_atom_site_fract_x
_atom_site_fract_y
_atom_site_fract_z
Bi1 Bi 0.2500 0.2500 0.2500
Np1 Np 0.7500 0.7500 0.7500
Pu1 Pu 0.0000 0.0000 0.0000
# Spin magnetization (μB/cell): 11.2
# DFT total energy (eV/atom): -9.623
# Calculated volume (Å³/f.u.): 74.2
# Space-group type: F-43m
# ρ (Mg/m³): 15.44

---

Record 6
# NpReBi, optimized geometry, DFT PBE
data_NpReBi
_symmetry_space_group_name_H-M 'P 1'
_symmetry_Int_Tables_number 1
_cell_length_a 4.6783
_cell_length_b 4.6783
_cell_length_c 4.6783
_cell_angle_alpha 60.00
_cell_angle_beta 60.00
_cell_angle_gamma 60.00
loop_
_symmetry_equiv_pos_as_xyz
'x,y,z'
loop_
_atom_site_label
_atom_site_type_symbol
_atom_site_fract_x
_atom_site_fract_y
_atom_site_fract_z
Bi1 Bi 0.7500 0.7500 0.7500
Np1 Np 0.2500 0.2500 0.2500
Re1 Re 0.0000 0.0000 0.0000
# Spin magnetization (μB/cell): 3.5
# DFT total energy (eV/atom): -9.150
# Calculated volume (Å³/f.u.): 72.4
# Space-group type: F-43m
# ρ (Mg/m³): 14.50

---

Record 7
# SmNpBi, optimized geometry, DFT PBE
data_SmNpBi
_symmetry_space_group_name_H-M 'P 1'
_symmetry_Int_Tables_number 1
_cell_length_a 5.1571
_cell_length_b 5.1571
_cell_length_c 5.1571
_cell_angle_alpha 60.00
_cell_angle_beta 60.00
_cell_angle_gamma 60.00
loop_
_symmetry_equiv_pos_as_xyz
'x,y,z'
loop_
_atom_site_label
_atom_site_type_symbol
_atom_site_fract_x
_atom_site_fract_y
_atom_site_fract_z
Bi1 Bi 0.2500 0.2500 0.2500
Np1 Np 0.7500 0.7500 0.7500
Sm1 Sm 0.0000 0.0000 0.0000
# Spin magnetization (μB/cell): 6.6
# DFT total energy (eV/atom): -6.626
# Calculated volume (Å³/f.u.): 97.0
# Space-group type: F-43m
# ρ (Mg/m³): 10.21

---

Record 8
# SrNpBi, optimized geometry, DFT PBE
data_SrNpBi
_symmetry_space_group_name_H-M 'P 1'
_symmetry_Int_Tables_number 1
_cell_length_a 5.4243
_cell_length_b 5.4243
_cell_length_c 5.4243
_cell_angle_alpha 60.00
_cell_angle_beta 60.00
_cell_angle_gamma 60.00
loop_
_symmetry_equiv_pos_as_xyz
'x,y,z'
loop_
_atom_site_label
_atom_site_type_symbol
_atom_site_fract_x
_atom_site_fract_y
_atom_site_fract_z
Bi1 Bi 0.2500 0.2500 0.2500
Np1 Np 0.0000 0.0000 0.0000
Sr1 Sr 0.7500 0.7500 0.7500
# Spin magnetization (μB/cell): 6.0
# DFT total energy (eV/atom): -5.656
# Energy above the most stable polymorph in this dataset (meV/atom): 0
# Calculated volume (Å³/f.u.): 112.9
# Space-group type: F-43m
# ρ (Mg/m³): 7.85